## Pr6Ge2Te3S (PBE-GGA)

Data for Pr6Ge2Te3S after structural relaxation.

Structure (POSCAR):
```
Pr6Ge2Te3S
1.0
-0.973 -1.687 -3.913
-6.845 -4.423 3.608
-3.171 9.384 -0.815
Ge Pr S Te
2 6 1 3
direct
0.835 0.670 0.669
0.165 0.330 0.331
0.328 0.432 0.656
0.660 0.098 0.321
0.993 0.767 0.986
0.007 0.233 0.014
0.340 0.902 0.679
0.672 0.568 0.344
0.500 0.000 0.000
0.834 0.167 0.667
0.166 0.833 0.333
0.500 0.500 0.000
```

* space-group type: C2/m, No. 12
* energy relative to the elements, uncorrected: -1.41 eV per atom